Entry 1:
The following is a PBE calculation of a geometry-optimized Ca2PPt2 structure, from Alexandria.

```
data_Ca2PPt2
_cell_length_a 10.653
_cell_length_b 4.174
_cell_length_c 10.787
_cell_angle_alpha 90.00
_cell_angle_beta 113.28
_cell_angle_gamma 90.00
_space_group_name_H-M_alt 'C 1 2/m 1'
_space_group_IT_number 12
loop_
_space_group_symop_operation_xyz
'x,y,z'
'-x,-y,-z'
'-x,y,-z'
'x,-y,z'
'x+1/2,y+1/2,z'
'-x+1/2,-y+1/2,-z'
'-x+1/2,y+1/2,-z'
'x+1/2,-y+1/2,z'
loop_
_atom_site_label
_atom_site_type_symbol
_atom_site_fract_x
_atom_site_fract_y
_atom_site_fract_z
Ca1 Ca 0.102 0.000 0.401
Ca2 Ca 0.192 0.500 0.137
P1 P 0.078 0.500 0.822
Pt1 Pt 0.041 0.000 0.897
Pt2 Pt 0.109 0.500 0.620
```

Output
DOS(E_F) in states/eV/atom: 0.48
Energy in eV per atom: -5.280
DFT formation energy in meV/atom: -980.6

Entry 2:
The following is a PBE calculation of a geometry-optimized MgIn3Cu structure, from Alexandria.

```
data_MgIn3Cu
_cell_length_a 8.150
_cell_length_b 5.838
_cell_length_c 9.588
_cell_angle_alpha 90.00
_cell_angle_beta 106.96
_cell_angle_gamma 90.00
_space_group_name_H-M_alt 'P 1 21/c 1'
_space_group_IT_number 14
loop_
_space_group_symop_operation_xyz
'x,y,z'
'-x,-y,-z'
'-x,y+1/2,-z+1/2'
'x,-y+1/2,z+1/2'
loop_
_atom_site_label
_atom_site_type_symbol
_atom_site_fract_x
_atom_site_fract_y
_atom_site_fract_z
Mg1 Mg 0.127 0.248 0.156
In1 In 0.123 0.747 0.156
In2 In 0.305 0.011 0.952
In3 In 0.495 0.501 0.168
Cu1 Cu 0.195 0.001 0.420
```

Output
DOS(E_F) in states/eV/atom: 0.28
Energy in eV per atom: -2.801
DFT formation energy in meV/atom: -19.3

Entry 3:
The following is a PBE calculation of a geometry-optimized Li4Ac2Hg2Bi3 structure, from Alexandria.

```
data_Li4Ac2Hg2Bi3
_cell_length_a 4.768
_cell_length_b 4.768
_cell_length_c 26.675
_cell_angle_alpha 90.00
_cell_angle_beta 90.00
_cell_angle_gamma 90.00
_space_group_name_H-M_alt 'I 4/m m m'
_space_group_IT_number 139
_space_group_name_Hall '-I 4 2'
loop_
_atom_site_label
_atom_site_type_symbol
_atom_site_fract_x
_atom_site_fract_y
_atom_site_fract_z
Li1 Li 0.000 0.500 0.094
Ac1 Ac 0.000 0.000 0.196
Hg1 Hg 0.000 0.000 0.053
Bi1 Bi 0.000 0.000 0.328
Bi2 Bi 0.000 0.000 0.500
```

Output
DOS(E_F) in states/eV/atom: 0.47
Energy in eV per atom: -3.053
DFT formation energy in meV/atom: -496.7

Entry 4:
The following is a PBE calculation of a geometry-optimized Mg2In3Ag8 structure, from Alexandria.

```
data_Mg2In3Ag8
_cell_length_a 5.5173
_cell_length_b 5.5173
_cell_length_c 31.0942
_cell_angle_alpha 90.00
_cell_angle_beta 90.00
_cell_angle_gamma 120.00
_space_group_name_H-M_alt 'R -3 m'
_space_group_IT_number 166
_space_group_name_Hall '-R 3 2"'
loop_
_atom_site_label
_atom_site_type_symbol
_atom_site_fract_x
_atom_site_fract_y
_atom_site_fract_z
Mg1 Mg 0.0000 0.0000 0.1391
In1 In 0.0000 0.0000 0.3163
In2 In 0.0000 0.0000 0.5000
Ag1 Ag 0.0000 0.0000 0.2254
Ag2 Ag 0.9998 0.4999 0.2695
```

Output
DOS(E_F) in states/eV/atom: 0.22
Energy in eV per atom: -2.618
DFT formation energy in meV/atom: 13.8